# 1
Below is a relaxed structure of HoZrPaO6, with properties calculated at the GGA-PBE level.

Unit cell a=5.601 b=5.601 c=9.494 alpha=90.00 beta=90.00 gamma=120.00
Positions (direct):
1 Ho 0.333 0.667 0.250
2 Ho 0.667 0.333 0.750
3 Zr 0.333 0.667 0.750
4 Zr 0.667 0.333 0.250
5 Pa 0.000 0.000 0.000
6 Pa 0.000 0.000 0.500
7 O 0.019 0.338 0.630
8 O 0.019 0.681 0.870
9 O 0.319 0.338 0.870
10 O 0.319 0.981 0.630
11 O 0.338 0.019 0.130
12 O 0.338 0.319 0.370
13 O 0.662 0.681 0.630
14 O 0.662 0.981 0.870
15 O 0.681 0.019 0.370
16 O 0.681 0.662 0.130
17 O 0.981 0.319 0.130
18 O 0.981 0.662 0.370

Properties
Symmetry   P-31c, No. 163
Formation energy without anion corrections   -31.02 eV per formula unit

# 2
Below is a relaxed structure of Ho3PbO6, with properties calculated at the GGA-PBE level.

Unit cell a=6.782 b=6.782 c=6.782 alpha=92.53 beta=92.53 gamma=92.53
Positions (direct):
1 Ho 0.059 0.751 0.568
2 Ho 0.249 0.432 0.941
3 Ho 0.432 0.941 0.249
4 Ho 0.568 0.059 0.751
5 Ho 0.751 0.568 0.059
6 Ho 0.941 0.249 0.432
7 Pb 0.000 0.000 0.000
8 Pb 0.500 0.500 0.500
9 O 0.025 0.688 0.903
10 O 0.097 0.975 0.312
11 O 0.159 0.431 0.619
12 O 0.312 0.097 0.975
13 O 0.381 0.841 0.569
14 O 0.431 0.619 0.159
15 O 0.569 0.381 0.841
16 O 0.619 0.159 0.431
17 O 0.688 0.903 0.025
18 O 0.841 0.569 0.381
19 O 0.903 0.025 0.688
20 O 0.975 0.312 0.097

Properties
Symmetry   R-3, No. 148
Formation energy without anion corrections   -29.08 eV per formula unit

# 3
Below is a relaxed structure of Ho3PbO7, with properties calculated at the GGA-PBE level.

Unit cell a=6.612 b=6.612 c=7.565 alpha=90.00 beta=90.00 gamma=111.06
Positions (direct):
1 Ho 0.000 0.000 0.000
2 Ho 0.000 0.000 0.500
3 Ho 0.030 0.492 0.750
4 Ho 0.492 0.030 0.250
5 Ho 0.508 0.970 0.750
6 Ho 0.970 0.508 0.250
7 Pb 0.500 0.500 0.000
8 Pb 0.500 0.500 0.500
9 O 0.129 0.871 0.750
10 O 0.132 0.868 0.250
11 O 0.150 0.402 0.035
12 O 0.150 0.402 0.465
13 O 0.399 0.601 0.750
14 O 0.402 0.150 0.535
15 O 0.402 0.150 0.965
16 O 0.598 0.850 0.035
17 O 0.598 0.850 0.465
18 O 0.601 0.399 0.250
19 O 0.850 0.598 0.535
20 O 0.850 0.598 0.965
21 O 0.868 0.132 0.750
22 O 0.871 0.129 0.250

Properties
Symmetry   Cmcm, No. 63
Formation energy without anion corrections   -28.94 eV per formula unit